# 1
! GdTmMgSc PBE-GGA relaxed; values from VASP
! Formation energy (eV/atom): 0.030
&SYSTEM
  ibrav = 0, nat = 4, ntyp = 4
/
ATOMIC_SPECIES
Tm 168.93 Tm.upf
Mg 24.30 Mg.upf
Gd 157.25 Gd.upf
Sc 44.96 Sc.upf
CELL_PARAMETERS angstrom
-3.9790 3.6004 0.0154
-2.8145 0.8692 4.4853
0.5704 4.6179 2.6729
ATOMIC_POSITIONS crystal
Tm 0.7500 0.7500 0.7500
Mg 0.5000 0.5000 0.5000
Gd 0.2500 0.2500 0.2500
Sc 0.0000 0.0000 0.0000

# 2
! GdYMgSc PBE-GGA relaxed; values from VASP
! Formation energy (eV/atom): 0.020
&SYSTEM
  ibrav = 0, nat = 4, ntyp = 4
/
ATOMIC_SPECIES
Gd 157.25 Gd.upf
Y 88.91 Y.upf
Sc 44.96 Sc.upf
Mg 24.30 Mg.upf
CELL_PARAMETERS angstrom
5.4035 0.0000 0.0000
2.7018 4.6796 0.0000
2.7018 1.5599 4.4120
ATOMIC_POSITIONS crystal
Gd 0.2500 0.2500 0.2500
Y 0.7500 0.7500 0.7500
Sc 0.0000 0.0000 0.0000
Mg 0.5000 0.5000 0.5000

# 3
! Gd2MgSe4 PBE-GGA relaxed; values from VASP
! Energy relative to the elements, uncorrected (eV per atom): -1.64
&SYSTEM
  ibrav = 0, nat = 14, ntyp = 3
/
ATOMIC_SPECIES
Se 78.96 Se.upf
Gd 157.25 Gd.upf
Mg 24.30 Mg.upf
CELL_PARAMETERS angstrom
7.5858 0.0085 0.0000
-2.2242 7.2524 0.0000
-2.6808 -3.6305 6.0974
ATOMIC_POSITIONS crystal
Se 0.9941 0.3647 0.2364
Se 0.1283 0.7577 0.7636
Se 0.6217 0.8853 0.1294
Se 0.1147 0.2441 0.7364
Se 0.5077 0.3783 0.2636
Se 0.7559 0.4923 0.8706
Se 0.2423 0.0059 0.3706
Se 0.6353 0.8717 0.6294
Gd 0.8750 0.7562 0.3812
Gd 0.3750 0.4938 0.6188
Gd 0.2438 0.6250 0.1188
Gd 0.5062 0.1250 0.8812
Mg 0.7500 0.2500 0.5000
Mg 0.0000 0.0000 0.0000

# 4
! Gd2MgSi2 PBE-GGA relaxed; values from VASP
! Energy relative to the elements, uncorrected (eV per atom): -0.70
&SYSTEM
  ibrav = 0, nat = 10, ntyp = 3
/
ATOMIC_SPECIES
Mg 24.30 Mg.upf
Si 28.09 Si.upf
Gd 157.25 Gd.upf
CELL_PARAMETERS angstrom
7.2390 0.0000 0.0000
0.0000 7.2390 0.0000
0.0000 0.0000 4.2495
ATOMIC_POSITIONS crystal
Mg 0.5000 0.5000 0.0000
Mg 0.0000 0.0000 0.0000
Si 0.6172 0.8828 0.0000
Si 0.8828 0.3828 0.0000
Si 0.1172 0.6172 0.0000
Si 0.3828 0.1172 0.0000
Gd 0.3215 0.8215 0.5000
Gd 0.1785 0.3215 0.5000
Gd 0.8215 0.6785 0.5000
Gd 0.6785 0.1785 0.5000

Number 1: raw total energy -6.5892 eV per atom. Number 2: raw total energy -7.0974 eV per atom. Number 3: raw total energy -7.8826 eV per atom. Number 4: raw total energy -8.8254 eV per atom.